Material: La3Ag2
Method: DFT, GGA-PBE
State: optimized geometry

a = 3.768 Å, b = 6.789 Å, c = 6.337 Å
α = 87.24°, β = 72.71°, γ = 106.11°
Sites, in units of the cell vectors:
Ag (0.973, 0.004, 0.058)
Ag (0.427, 0.196, 0.342)
La (0.791, 0.351, 0.768)
La (0.200, 0.600, 0.200)
La (0.609, 0.849, 0.632)

## Properties
relative energy among the computed polymorphs = 72 meV/atom
size of the total moment = 0.0 μB/f.u.
D(E_F) = 5.551 states/eV per cell
crystal system = monoclinic
VASP energy = -4.2273 eV/atom

Material: Te2WSeN
Method: DFT, GGA-PBE
State: optimized geometry

a = 5.413 Å, b = 5.413 Å, c = 3.823 Å
α = 90.00°, β = 90.00°, γ = 90.00°
Sites, in units of the cell vectors:
Te (0.000, 0.500, 0.000)
Te (0.500, 0.000, 0.000)
Se (0.500, 0.500, 0.500)
W (0.000, 0.000, 0.000)
N (0.000, 0.000, 0.500)

## Properties
relative energy among the computed polymorphs = 0 meV/atom
size of the total moment = 0.0 μB/f.u.
D(E_F) = 2.913 states/eV per cell
crystal system = tetragonal
VASP energy = -5.8367 eV/atom

Material: Na2AgAs2
Method: DFT, GGA-PBE
State: optimized geometry

a = 4.369 Å, b = 4.369 Å, c = 6.897 Å
α = 71.53°, β = 71.53°, γ = 90.00°
Sites, in units of the cell vectors:
Na (0.750, 0.250, 0.500)
Na (0.250, 0.750, 0.500)
As (0.405, 0.405, 0.189)
As (0.595, 0.595, 0.811)
Ag (0.000, 0.000, 0.000)

## Properties
relative energy among the computed polymorphs = 387 meV/atom
size of the total moment = 0.0 μB/f.u.
D(E_F) = 1.670 states/eV per cell
crystal system = tetragonal
VASP energy = -2.8680 eV/atom

Material: RbNaMg2Tl
Method: DFT, GGA-PBE
State: optimized geometry

a = 5.664 Å, b = 5.664 Å, c = 6.114 Å
α = 90.00°, β = 90.00°, γ = 90.00°
Sites, in units of the cell vectors:
Na (0.000, 0.000, 0.500)
Tl (0.000, 0.000, 0.000)
Mg (0.000, 0.500, 0.000)
Mg (0.500, 0.000, 0.000)
Rb (0.500, 0.500, 0.500)

## Properties
relative energy among the computed polymorphs = 0 meV/atom
size of the total moment = 0.0 μB/f.u.
D(E_F) = 2.474 states/eV per cell
crystal system = tetragonal
VASP energy = -1.4533 eV/atom

Material: MnTl3Mo
Method: DFT, GGA-PBE
State: optimized geometry

a = 5.384 Å, b = 5.384 Å, c = 5.384 Å
α = 90.00°, β = 90.00°, γ = 90.00°
Last column: magnetic moment on the atom in μB.
Sites, in units of the cell vectors:
Tl (0.000, 0.500, 0.000)  -0.01
Tl (0.000, 0.000, 0.500)  -0.01
Tl (0.500, 0.000, 0.000)  0.00
Mn (0.500, 0.500, 0.500)  4.51
Mo (0.000, 0.000, 0.000)  1.10

## Properties
relative energy among the computed polymorphs = 0 meV/atom
size of the total moment = 6.2 μB/f.u.
D(E_F) = 2.784 states/eV per cell
crystal system = cubic
VASP energy = -4.3803 eV/atom

Material: Ga2FeNi4
Method: DFT, GGA-PBE
State: optimized geometry

a = 4.002 Å, b = 4.002 Å, c = 6.877 Å
α = 73.08°, β = 73.08°, γ = 60.00°
Last column: magnetic moment on the atom in μB.
Sites, in units of the cell vectors:
Ni (0.874, 0.874, 0.379)  0.19
Ni (0.126, 0.126, 0.621)  0.19
Ni (0.622, 0.622, 0.133)  0.33
Ni (0.378, 0.378, 0.867)  0.33
Fe (0.000, 0.000, 0.000)  2.73
Ga (0.751, 0.751, 0.747)  -0.03
Ga (0.249, 0.249, 0.253)  -0.03

## Properties
size of the total moment = 3.7 μB/f.u.
D(E_F) = 6.266 states/eV per cell
crystal system = trigonal
VASP energy = -5.5076 eV/atom

Material: Ba4Na
Method: DFT, GGA-PBE
State: optimized geometry

a = 8.508 Å, b = 8.139 Å, c = 11.563 Å
α = 63.50°, β = 68.41°, γ = 58.49°
Sites, in units of the cell vectors:
Ba (0.801, 0.605, 0.794)
Ba (0.301, 0.604, 0.794)
Ba (0.848, 0.198, 0.606)
Ba (0.348, 0.198, 0.606)
Ba (0.652, 0.802, 0.394)
Ba (0.152, 0.802, 0.394)
Ba (0.699, 0.396, 0.206)
Ba (0.199, 0.395, 0.206)
Na (0.751, 0.000, 0.000)
Na (0.249, 0.000, 0.000)

## Properties
relative energy among the computed polymorphs = 46 meV/atom
size of the total moment = 0.0 μB/f.u.
D(E_F) = 14.334 states/eV per cell
crystal system = monoclinic
VASP energy = -1.7348 eV/atom

Material: TiRh3Pb
Method: DFT, GGA-PBE
State: optimized geometry

a = 4.878 Å, b = 4.878 Å, c = 4.878 Å
α = 90.00°, β = 90.00°, γ = 90.00°
Sites, in units of the cell vectors:
Pb (0.000, 0.000, 0.000)
Rh (0.000, 0.500, 0.000)
Rh (0.000, 0.000, 0.500)
Rh (0.500, 0.000, 0.000)
Ti (0.500, 0.500, 0.500)

## Properties
relative energy among the computed polymorphs = 997 meV/atom
size of the total moment = 0.0 μB/f.u.
D(E_F) = 14.901 states/eV per cell
crystal system = cubic
VASP energy = -5.3803 eV/atom

Material: AcPrGaSb
Method: DFT, GGA-PBE
State: optimized geometry

a = 5.566 Å, b = 5.566 Å, c = 5.566 Å
α = 60.00°, β = 60.00°, γ = 60.00°
Sites, in units of the cell vectors:
Pr (0.500, 0.500, 0.500)
Sb (0.750, 0.750, 0.750)
Ac (0.000, 0.000, 0.000)
Ga (0.250, 0.250, 0.250)

## Properties
size of the total moment = 0.0 μB/f.u.
D(E_F) = 4.550 states/eV per cell
crystal system = cubic
VASP energy = -4.6033 eV/atom

Material: CoSiNi2Ir
Method: DFT, GGA-PBE
State: optimized geometry

a = 4.170 Å, b = 4.131 Å, c = 4.170 Å
α = 90.00°, β = 90.00°, γ = 90.00°
Last column: magnetic moment on the atom in μB.
Sites, in units of the cell vectors:
Ni (0.000, 0.000, 0.500)  0.83
Ni (0.500, 0.000, 0.000)  0.44
Si (0.000, 0.500, 0.000)  -0.01
Ir (0.500, 0.500, 0.500)  -0.04
Co (0.000, 0.000, 0.000)  1.10

## Properties
size of the total moment = 2.3 μB/f.u.
D(E_F) = 5.491 states/eV per cell
crystal system = tetragonal
VASP energy = -5.7005 eV/atom

Material: KLiP2O6
Method: DFT, GGA-PBE
State: optimized geometry

a = 5.608 Å, b = 14.059 Å, c = 15.716 Å
α = 71.34°, β = 90.00°, γ = 90.00°
Sites, in units of the cell vectors:
K (0.675, 0.624, 0.634)
K (0.825, 0.624, 0.134)
K (0.333, 0.123, 0.639)
K (0.325, 0.376, 0.366)
K (0.833, 0.877, 0.861)
K (0.667, 0.877, 0.361)
K (0.175, 0.376, 0.866)
K (0.167, 0.123, 0.139)
Li (0.306, 0.070, 0.890)
Li (0.311, 0.428, 0.134)
Li (0.811, 0.572, 0.366)
Li (0.189, 0.428, 0.634)
Li (0.194, 0.070, 0.390)
Li (0.689, 0.572, 0.866)
Li (0.806, 0.930, 0.610)
Li (0.694, 0.930, 0.110)
P (0.151, 0.642, 0.486)
P (0.314, 0.646, 0.308)
P (0.814, 0.354, 0.192)
P (0.667, 0.160, 0.981)
P (0.690, 0.145, 0.309)
P (0.190, 0.855, 0.191)
P (0.833, 0.160, 0.481)
P (0.333, 0.840, 0.019)
P (0.167, 0.840, 0.519)
P (0.186, 0.646, 0.808)
P (0.686, 0.354, 0.692)
P (0.651, 0.358, 0.014)
P (0.310, 0.855, 0.691)
P (0.810, 0.145, 0.809)
P (0.849, 0.358, 0.514)
P (0.349, 0.642, 0.986)
O (0.219, 0.935, 0.960)
O (0.553, 0.621, 0.278)
O (0.750, 0.245, 0.023)
O (0.338, 0.619, 0.416)
O (0.217, 0.767, 0.780)
O (0.938, 0.881, 0.207)
O (0.903, 0.836, 0.538)
O (0.594, 0.402, 0.214)
O (0.597, 0.836, 0.038)
O (0.053, 0.379, 0.222)
O (0.880, 0.065, 0.329)
O (0.599, 0.648, 0.951)
O (0.662, 0.381, 0.584)
O (0.406, 0.598, 0.786)
O (0.062, 0.119, 0.793)
O (0.250, 0.755, 0.477)
O (0.213, 0.573, 0.578)
O (0.787, 0.427, 0.422)
O (0.250, 0.755, 0.977)
O (0.447, 0.379, 0.722)
O (0.906, 0.402, 0.714)
O (0.120, 0.935, 0.671)
O (0.620, 0.065, 0.829)
O (0.688, 0.200, 0.385)
O (0.162, 0.619, 0.916)
O (0.901, 0.648, 0.451)
O (0.312, 0.800, 0.615)
O (0.188, 0.800, 0.115)
O (0.438, 0.119, 0.293)
O (0.717, 0.233, 0.720)
O (0.719, 0.065, 0.540)
O (0.281, 0.935, 0.460)
O (0.401, 0.352, 0.049)
O (0.380, 0.935, 0.171)
O (0.838, 0.381, 0.084)
O (0.094, 0.598, 0.286)
O (0.287, 0.573, 0.078)
O (0.947, 0.621, 0.778)
O (0.403, 0.164, 0.962)
O (0.750, 0.245, 0.523)
O (0.099, 0.352, 0.549)
O (0.283, 0.767, 0.280)
O (0.097, 0.164, 0.462)
O (0.812, 0.200, 0.885)
O (0.713, 0.427, 0.922)
O (0.562, 0.881, 0.707)
O (0.781, 0.065, 0.040)
O (0.783, 0.233, 0.220)

## Properties
relative energy among the computed polymorphs = 7 meV/atom
size of the total moment = 0.0 μB/f.u.
D(E_F) = 0.000 states/eV per cell
crystal system = monoclinic
VASP energy = -6.6365 eV/atom

Material: SrSeS6
Method: DFT, GGA-PBE
State: optimized geometry

a = 6.523 Å, b = 5.974 Å, c = 9.370 Å
α = 103.12°, β = 37.85°, γ = 111.27°
Sites, in units of the cell vectors:
Sr (0.500, 0.500, 0.500)
Se (0.000, 0.000, 0.000)
S (0.231, 0.956, 0.620)
S (0.498, 0.405, 0.821)
S (0.682, 0.330, 0.983)
S (0.502, 0.595, 0.179)
S (0.769, 0.044, 0.380)
S (0.318, 0.670, 0.017)

## Properties
size of the total moment = 0.0 μB/f.u.
crystal system = triclinic
VASP energy = -4.1169 eV/atom

Material: SrHfMg
Method: DFT, GGA-PBE
State: optimized geometry

a = 3.488 Å, b = 3.489 Å, c = 15.058 Å
α = 76.62°, β = 90.00°, γ = 90.00°
Sites, in units of the cell vectors:
Sr (0.072, 0.515, 0.661)
Sr (0.072, 0.146, 0.031)
Mg (0.572, 0.832, 0.845)
Mg (0.572, 0.192, 0.484)
Hf (0.072, 0.828, 0.348)
Hf (0.572, 0.451, 0.225)

## Properties
relative energy among the computed polymorphs = 0 meV/atom
size of the total moment = 0.0 μB/f.u.
D(E_F) = 6.219 states/eV per cell
crystal system = tetragonal
VASP energy = -4.1988 eV/atom

Material: HRh2Pb4
Method: DFT, GGA-PBE
State: optimized geometry

a = 4.847 Å, b = 4.847 Å, c = 7.941 Å
α = 72.23°, β = 72.23°, γ = 60.00°
Sites, in units of the cell vectors:
H (0.000, 0.000, 0.000)
Rh (0.077, 0.077, 0.768)
Rh (0.923, 0.923, 0.232)
Pb (0.379, 0.379, 0.862)
Pb (0.207, 0.207, 0.380)
Pb (0.793, 0.793, 0.620)
Pb (0.621, 0.621, 0.138)

## Properties
size of the total moment = 0.0 μB/f.u.
D(E_F) = 4.577 states/eV per cell
crystal system = trigonal
VASP energy = -4.6662 eV/atom

Material: Ag2BiPd2
Method: DFT, GGA-PBE
State: optimized geometry

a = 3.842 Å, b = 3.842 Å, c = 7.361 Å
α = 74.87°, β = 74.87°, γ = 90.00°
Sites, in units of the cell vectors:
Pd (0.400, 0.400, 0.199)
Pd (0.600, 0.600, 0.801)
Bi (0.000, 0.000, 0.000)
Ag (0.750, 0.250, 0.500)
Ag (0.250, 0.750, 0.500)

## Properties
relative energy among the computed polymorphs = 126 meV/atom
size of the total moment = 0.0 μB/f.u.
D(E_F) = 2.469 states/eV per cell
crystal system = tetragonal
VASP energy = -3.9720 eV/atom

Material: Cr2Ni2Br
Method: DFT, GGA-PBE
State: optimized geometry

a = 3.248 Å, b = 3.248 Å, c = 7.310 Å
α = 77.17°, β = 77.17°, γ = 90.00°
Sites, in units of the cell vectors:
Ni (0.384, 0.384, 0.232)
Ni (0.616, 0.616, 0.768)
Br (0.000, 0.000, 0.000)
Cr (0.750, 0.250, 0.500)
Cr (0.250, 0.750, 0.500)

## Properties
relative energy among the computed polymorphs = 0 meV/atom
size of the total moment = 0.0 μB/f.u.
D(E_F) = 6.175 states/eV per cell
crystal system = tetragonal
VASP energy = -5.9577 eV/atom

Material: Ba2Al4Ga3Ag
Method: DFT, GGA-PBE
State: optimized geometry

a = 4.537 Å, b = 4.537 Å, c = 11.260 Å
α = 90.00°, β = 90.00°, γ = 90.00°
Sites, in units of the cell vectors:
Ba (0.500, 0.000, 0.247)
Ba (0.000, 0.500, 0.753)
Al (0.500, 0.500, 0.000)
Al (0.000, 0.000, 0.000)
Al (0.500, 0.000, 0.628)
Al (0.000, 0.500, 0.372)
Ga (0.000, 0.000, 0.500)
Ga (0.500, 0.000, 0.868)
Ga (0.000, 0.500, 0.132)
Ag (0.500, 0.500, 0.500)

## Properties
size of the total moment = 0.0 μB/f.u.
D(E_F) = 2.618 states/eV per cell
crystal system = tetragonal
VASP energy = -3.4076 eV/atom

Material: Lu2MgSi
Method: DFT, GGA-PBE
State: optimized geometry

a = 3.453 Å, b = 3.453 Å, c = 10.583 Å
α = 80.61°, β = 80.61°, γ = 60.00°
Sites, in units of the cell vectors:
Si (0.500, 0.500, 0.500)
Lu (0.104, 0.104, 0.688)
Lu (0.896, 0.896, 0.312)
Mg (0.000, 0.000, 0.000)

## Properties
size of the total moment = 0.0 μB/f.u.
D(E_F) = 2.927 states/eV per cell
crystal system = trigonal
VASP energy = -3.9734 eV/atom

Material: Y2HgRu
Method: DFT, GGA-PBE
State: optimized geometry

a = 3.501 Å, b = 3.501 Å, c = 7.908 Å
α = 90.00°, β = 90.00°, γ = 90.00°
Last column: magnetic moment on the atom in μB.
Sites, in units of the cell vectors:
Hg (0.000, 0.000, 0.537)  0.00
Ru (0.500, 0.500, 0.736)  0.01
Y (0.000, 0.000, 0.928)  0.01
Y (0.500, 0.500, 0.300)  0.14

## Properties
size of the total moment = 0.3 μB/f.u.
D(E_F) = 3.275 states/eV per cell
crystal system = tetragonal
VASP energy = -5.6839 eV/atom

Material: UMn2Al
Method: DFT, GGA-PBE
State: optimized geometry

a = 3.269 Å, b = 4.222 Å, c = 4.222 Å
α = 90.00°, β = 90.00°, γ = 90.00°
Last column: magnetic moment on the atom in μB.
Sites, in units of the cell vectors:
Mn (0.000, 0.000, 0.500)  0.89
Mn (0.000, 0.500, 0.000)  0.89
U (0.500, 0.000, 0.000)  -1.01
Al (0.500, 0.500, 0.500)  -0.03

## Properties
size of the total moment = 0.7 μB/f.u.
D(E_F) = 3.961 states/eV per cell
crystal system = tetragonal
VASP energy = -8.4857 eV/atom